[1]
Pr3Y4In4 after structural relaxation. Source: Alexandria via LeMat-Bulk, functional PBE.

Cell lengths 9.9030, 9.9030, 9.9030 Å; angles 148.86, 137.20, 53.87 degrees
With the nearest neighbours (Å) after each atom.
Sites, in units of the cell vectors:
Pr 0.0000 0.0000 0.0000  6 In 3.20-3.39
Pr 0.3949 0.8949 0.5000  4 Y 3.53, 6 In 3.57-3.85, 1 Pr 3.71
Pr 0.6051 0.1051 0.5000  4 Y 3.53, 6 In 3.57-3.85, 1 Pr 3.71
Y 0.0534 0.3220 0.7314  4 In 3.14-3.17, 1 Y 3.35
Y 0.4094 0.6780 0.7314  4 In 3.14-3.17, 1 Y 3.35
Y 0.5906 0.3220 0.2686  4 In 3.14-3.17, 1 Y 3.35
Y 0.9466 0.6780 0.2686  4 In 3.14-3.17, 1 Y 3.35
In 0.1811 0.1811 0.0000  6 Y 3.14-3.16, 1 Pr 3.20
In 0.2918 0.5000 0.7918  1 In 3.01, 2 Y 3.17
In 0.7082 0.5000 0.2082  1 In 3.01, 2 Y 3.17
In 0.8189 0.8189 0.0000  6 Y 3.14-3.16, 1 Pr 3.20

Properties
The calculation puts the energy of formation at -324.6 kJ/mol of formula units.

[2]
Pr6YIn after structural relaxation. Source: Alexandria via LeMat-Bulk, functional PBE.

Cell lengths 5.0756, 5.0756, 10.4262 Å; angles 90.00, 90.00, 90.00 degrees
With the nearest neighbours (Å) after each atom.
Sites, in units of the cell vectors:
Pr 0.0000 0.0000 0.0000  8 Pr 3.58, 4 In 3.59
Pr 0.0000 0.0000 0.5000  4 Y 3.59, 8 Pr 3.69
Pr 0.0000 0.5000 0.2425  2 In 3.58, 8 Pr 3.58-3.69, 2 Y 3.69
Pr 0.0000 0.5000 0.7575  2 In 3.58, 8 Pr 3.58-3.69, 2 Y 3.69
Pr 0.5000 0.0000 0.2425  2 In 3.58, 8 Pr 3.58-3.69, 2 Y 3.69
Pr 0.5000 0.0000 0.7575  2 In 3.58, 8 Pr 3.58-3.69, 2 Y 3.69
Y 0.5000 0.5000 0.5000  12 Pr 3.59-3.69
In 0.5000 0.5000 0.0000  12 Pr 3.58-3.59

Properties
The calculation puts the energy of formation at -93.4 kJ/mol of formula units.

[3]
PrY2In after structural relaxation. Source: Alexandria via LeMat-Bulk, functional PBE.

Cell lengths 5.5417, 5.5417, 5.5417 Å; angles 60.00, 60.00, 60.00 degrees
With the nearest neighbours (Å) after each atom.
Sites, in units of the cell vectors:
Pr 0.0000 0.0000 0.0000  4 In 3.39, 4 Y 3.39
Y 0.2500 0.2500 0.2500  4 Y 3.39, 4 Pr 3.39
Y 0.5000 0.5000 0.5000  4 In 3.39, 4 Y 3.39
In 0.7500 0.7500 0.7500  4 Y 3.39, 4 Pr 3.39

Properties
The calculation puts the energy of formation at -54.6 kJ/mol of formula units.

- energy of formation of number 3 (PrY2In)?
  -54.6 kJ/mol of formula units

- Which formula does entry 3 have?
  PrY2In